## BaSc2Au (PBE)

Data for a relaxed structure of BaSc2Au.

Output
Calculated volume in Å³/atom: 27.95
Offset from the most stable computed form in eV per atom: 0.342
Total magnetic moment in μB/atom: 0.2819

Structure (POSCAR):
```
BaSc2Au
1.0
-2.2648 2.2648 5.4497
2.2648 -2.2648 5.4497
2.2648 2.2648 -5.4497
Ba Sc Au
1 2 1
Cartesian
0.0000 0.0000 0.0000 Ba
2.2648 0.0000 2.7249 Sc
0.0000 2.2648 2.7249 Sc
0.0000 0.0000 5.4497 Au
```

---

## BaScAu2 (PBE)

Data for a relaxed structure of BaScAu2.

Output
Calculated volume in Å³/atom: 28.77
Offset from the most stable computed form in eV per atom: 0.005
Total magnetic moment in μB/atom: 0.0000

Structure (POSCAR):
```
BaScAu2
1.0
2.4072 1.3898 5.7323
-2.4072 1.3898 5.7323
0.0000 -2.7796 5.7323
Ba Sc Au
1 1 2
Cartesian
0.0000 0.0000 0.0000 Ba
0.0000 0.0000 8.5984 Sc
0.0000 0.0000 3.4513 Au
0.0000 0.0000 13.7455 Au
```